Compound: Tb2PrAg4Sn4
Source: OQMD
Functional: PBE-GGA
Structure: relaxed

Summary:
VASP energy, eV per atom: -4.29
SG: Immm (71)

a b c (Å): 8.844 8.844 8.844
angles (deg): 150.03 130.19 59.23
Sites, in units of the cell vectors:
Tb (0.128, 0.128, 0.000)
Tb (0.872, 0.872, 0.000)
Pr (0.500, 0.000, 0.500)
Ag (0.133, 0.329, 0.804)
Ag (0.474, 0.671, 0.804)
Ag (0.526, 0.329, 0.196)
Ag (0.867, 0.671, 0.196)
Sn (0.192, 0.500, 0.692)
Sn (0.282, 0.782, 0.500)
Sn (0.718, 0.218, 0.500)
Sn (0.808, 0.500, 0.308)

---

Compound: NdGdZn6Sn3
Source: OQMD
Functional: PBE-GGA
Structure: relaxed

Summary:
VASP energy, eV per atom: -2.93
SG: P-6 (174)

a b c (Å): 7.969 7.969 4.243
angles (deg): 90.00 90.00 120.00
Sites, in units of the cell vectors:
Nd (0.000, 0.000, 0.000)
Gd (0.667, 0.333, 0.000)
Zn (0.064, 0.671, 0.500)
Zn (0.148, 0.486, 0.000)
Zn (0.329, 0.392, 0.500)
Zn (0.338, 0.852, 0.000)
Zn (0.514, 0.662, 0.000)
Zn (0.608, 0.936, 0.500)
Sn (0.340, 0.062, 0.500)
Sn (0.723, 0.660, 0.500)
Sn (0.938, 0.277, 0.500)

---

Compound: LaSm2Si4Ni2Pt2
Source: OQMD
Functional: PBE-GGA
Structure: relaxed

Summary:
VASP energy, eV per atom: -6.38
SG: Immm (71)

a b c (Å): 12.256 12.256 12.256
angles (deg): 160.57 160.27 27.83
Sites, in units of the cell vectors:
La (0.000, 0.000, 0.000)
Sm (0.347, 0.847, 0.500)
Sm (0.653, 0.153, 0.500)
Si (0.204, 0.704, 0.500)
Si (0.449, 0.449, 0.000)
Si (0.551, 0.551, 0.000)
Si (0.796, 0.296, 0.500)
Ni (0.249, 0.249, 0.000)
Ni (0.751, 0.751, 0.000)
Pt (0.102, 0.602, 0.500)
Pt (0.898, 0.398, 0.500)

---

Compound: YNbIr2
Source: OQMD
Functional: PBE-GGA
Structure: relaxed

Summary:
DFT formation energy, eV per atom: -0.332
SG: Cmcm (63)

a b c (Å): 5.176 5.176 5.554
angles (deg): 90.00 90.00 97.51
Sites, in units of the cell vectors:
Y (0.000, 0.000, 0.000)
Y (0.000, 0.000, 0.500)
Nb (0.400, 0.600, 0.750)
Nb (0.600, 0.400, 0.250)
Ir (0.100, 0.504, 0.250)
Ir (0.496, 0.900, 0.250)
Ir (0.504, 0.100, 0.750)
Ir (0.900, 0.496, 0.750)

---

Compound: PrDyNi4Sn2
Source: OQMD
Functional: PBE-GGA
Structure: relaxed

Summary:
VASP energy, eV per atom: -5.45
SG: P-6m2 (187)

a b c (Å): 4.379 4.379 8.943
angles (deg): 90.00 90.00 120.00
Sites, in units of the cell vectors:
Pr (0.000, 0.000, 0.000)
Dy (0.667, 0.333, 0.500)
Ni (0.000, 0.000, 0.336)
Ni (0.000, 0.000, 0.664)
Ni (0.667, 0.333, 0.187)
Ni (0.667, 0.333, 0.813)
Sn (0.333, 0.667, 0.261)
Sn (0.333, 0.667, 0.739)

---

Compound: RbLuCoS3
Source: OQMD
Functional: PBE-GGA
Structure: relaxed

Summary:
Excess energy over the best structure of this formula in the dataset, eV per atom: 0.000
SG: P2_1/m (11)

a b c (Å): 8.957 3.828 9.301
angles (deg): 90.00 110.22 90.00
Sites, in units of the cell vectors:
Rb (0.204, 0.250, 0.235)
Rb (0.796, 0.750, 0.765)
Lu (0.333, 0.750, 0.858)
Lu (0.667, 0.250, 0.142)
Co (0.076, 0.250, 0.592)
Co (0.924, 0.750, 0.408)
S (0.123, 0.250, 0.848)
S (0.178, 0.750, 0.539)
S (0.467, 0.750, 0.159)
S (0.533, 0.250, 0.841)
S (0.822, 0.250, 0.461)
S (0.877, 0.750, 0.152)